## Li3TbF6 (PBE-GGA)

Data for a relaxed Li3TbF6 crystal.

Properties
- Raw total energy: -109.74 eV/cell

abc: 6.7159 10.2417 3.5970
angles: 90.00 90.00 90.00
Space group Cmmm (No. 65)
Unique sites:
Li1 0.0000 0.0000 0.0000 [2 per cell]
Li2 0.2500 0.2500 0.5000 [4 per cell]
Tb1 0.0000 0.5000 0.0000 [2 per cell]
F1 0.0000 0.3626 0.5000 [4 per cell]
F2 0.2126 0.1240 0.0000 [8 per cell]

=====

## LiTb2F8 (PBE-GGA)

Data for a relaxed LiTb2F8 crystal.

Properties
- Raw total energy: -128.10 eV/cell
- Polymorph energy (0 for the lowest one): 0 meV/atom

abc: 13.3777 3.8356 5.4520
angles: 90.00 110.58 90.00
Space group C2/m (No. 12)
Unique sites:
Li1 0.0000 0.0000 0.0000 [2 per cell]
Tb1 0.1650 0.5000 0.6663 [4 per cell]
F1 0.0246 0.5000 0.2834 [4 per cell]
F2 0.0946 0.0000 0.7863 [4 per cell]
F3 0.1752 0.0000 0.4072 [4 per cell]
F4 0.2160 0.5000 0.1105 [4 per cell]

=====

## LiTbF2 (PBE-GGA)

Data for a relaxed LiTbF2 crystal.

Properties
- Raw total energy: -157.86 eV/cell

abc: 6.6897 6.6897 12.7410
angles: 90.00 90.00 90.00
Space group I4_1/amd (No. 141, origin choice 2)
Unique sites:
Li1 0.0000 0.0000 0.0000 [8 per cell]
Tb1 0.0000 0.0000 0.5000 [8 per cell]
F1 0.0000 0.0288 0.3143 [16 per cell]

=====

## LiTbF4 (PBE-GGA)

Data for a relaxed LiTbF4 crystal.

Properties
- Raw total energy: -143.96 eV/cell

abc: 7.2080 7.2080 6.6040
angles: 90.00 90.00 90.00
Space group I4_1md (No. 109)
Unique sites:
Li1 0.0000 0.0000 0.0000 [4 per cell]
Tb1 0.0000 0.0000 0.4867 [4 per cell]
F1 0.0000 0.1933 0.7538 [8 per cell]
F2 0.0000 0.2013 0.2461 [8 per cell]

=====

## Li2TbF6 (PBE-GGA)

Data for a relaxed Li2TbF6 crystal.

Properties
- Raw total energy: -190.51 eV/cell

abc: 7.9036 4.3215 12.3098
angles: 90.00 104.38 90.00
Space group P2_1/c (No. 14)
Unique sites:
Li1 0.0517 0.0270 0.1779 [4 per cell]
Li2 0.3738 0.5631 0.3047 [4 per cell]
Tb1 0.2493 0.5334 0.9977 [4 per cell]
F1 0.0254 0.7394 0.0589 [4 per cell]
F2 0.1158 0.6592 0.8174 [4 per cell]
F3 0.2446 0.2193 0.6702 [4 per cell]
F4 0.2985 0.0478 0.9481 [4 per cell]
F5 0.3905 0.6568 0.6641 [4 per cell]
F6 0.4677 0.5640 0.8958 [4 per cell]

=====

## LiTbF4 (PBE-GGA)

Data for a relaxed LiTbF4 crystal.

Properties
- Raw total energy: -146.57 eV/cell

abc: 7.0486 7.0486 6.6627
angles: 90.00 90.00 90.00
Space group I4_1/amd (No. 141, origin choice 2)
Unique sites:
Li1 0.0000 0.2500 0.3750 [4 per cell]
Tb1 0.0000 0.2500 0.8750 [4 per cell]
F1 0.0000 0.0664 0.1746 [16 per cell]

=====

Number 1: D(E_F) 0.00 states/eV per atom, magnetization 0.000 μB per atom. Number 2: D(E_F) 0.44 states/eV per atom, magnetization 0.094 μB per atom. Number 3: D(E_F) 0.31 states/eV per atom, magnetization 0.000 μB per atom. Number 4: D(E_F) 0.00 states/eV per atom, magnetization 0.000 μB per atom. Number 5: D(E_F) 0.05 states/eV per atom, magnetization 0.117 μB per atom. Number 6: D(E_F) 0.00 states/eV per atom, magnetization 0.000 μB per atom.